Entry from the Alexandria database: an optimized crystal structure of LiMnSiO4 (PBE+U).

POSCAR file:
```
LiMnSiO4
1.0
-4.183 -3.603 -1.388
0.656 -0.715 -6.134
4.932 -7.901 -0.566
Li Mn Si O
4 4 4 16
Direct
0.698 0.355 0.931
0.220 0.444 0.772
0.780 0.556 0.228
0.302 0.645 0.069
0.304 0.935 0.780
0.782 0.160 0.588
0.218 0.840 0.412
0.696 0.065 0.220
0.813 0.840 0.910
0.678 0.709 0.538
0.322 0.291 0.462
0.187 0.160 0.090
0.610 0.704 0.888
0.104 0.706 0.882
0.228 0.134 0.916
0.793 0.091 0.802
0.865 0.851 0.572
0.387 0.773 0.613
0.790 0.451 0.598
0.362 0.221 0.639
0.638 0.779 0.361
0.210 0.549 0.402
0.613 0.227 0.387
0.135 0.149 0.428
0.207 0.909 0.198
0.772 0.866 0.084
0.896 0.294 0.118
0.390 0.296 0.112
```

## Properties
As for the distance to the lowest polymorph of the same formula: 6.8 kJ per mole of atoms. The uncorrected energy comes out at -199.2 eV per cell.